10
Lattice="0.000 4.744 4.744 4.744 0.000 4.744 4.744 4.744 0.000" Properties=species:S:1:pos:R:3 comment="La2Ga6NiPd PBE relaxed" e_tot_ev_per_atom=-4.324 volume_a3_per_atom=21.4 sg=Fm-3m ef_ev_per_atom=-0.42 pbc="T T T"
La 2.372 2.372 2.372
La 7.116 7.116 7.116
Ga 4.744 4.744 2.291
Ga 4.744 2.291 4.744
Ga 7.197 4.744 4.744
Ga 2.291 4.744 4.744
Ga 4.744 7.197 4.744
Ga 4.744 4.744 7.197
Ni 0.000 0.000 0.000
Pd 4.744 4.744 4.744



8
Lattice="6.786 0.000 0.000 0.000 3.939 0.000 -2.284 0.000 6.458" Properties=species:S:1:pos:R:3 comment="CeYNp2S4 PBE relaxed" e_tot_ev_per_atom=-8.560 volume_a3_per_atom=21.6 raw_formation_energy_ev_per_fu=-13.7 sg=P2/m pbc="T T T"
Ce 0.000 0.000 0.000
Y -1.142 1.969 3.229
Np 2.251 0.000 3.229
Np 3.393 1.969 0.000
S 0.018 0.000 4.827
S 1.164 1.969 1.660
S 3.339 1.969 4.797
S 4.485 0.000 1.631



4
Lattice="2.852 0.000 0.000 0.000 3.757 0.000 -0.016 0.000 5.899" Properties=species:S:1:pos:R:3 comment="ScReOs2 PBE relaxed" e_tot_ev_per_atom=-10.259 volume_a3_per_atom=15.8 sg=P2/m ef_ev_per_atom=0.05 pbc="T T T"
Sc 0.000 0.000 0.000
Re -0.008 0.000 2.950
Os 1.422 1.878 1.594
Os 1.414 1.878 4.305



3
Lattice="-1.562 1.562 4.197 1.562 -1.562 4.197 1.562 1.562 -4.197" Properties=species:S:1:pos:R:3 comment="VCuRe PBE relaxed" e_tot_ev_per_atom=-8.427 volume_a3_per_atom=13.7 relative_energy_mev_per_atom=65 sg=I4mm ef_ev_per_atom=0.13 pbc="T T T"
V 0.000 0.000 0.000
Cu 0.000 0.000 2.766
Re 0.000 0.000 5.476



4
Lattice="0.000 3.714 3.714 3.714 0.000 3.714 3.714 3.714 0.000" Properties=species:S:1:pos:R:3 comment="Ca2AlHg PBE relaxed" e_tot_ev_per_atom=-2.138 volume_a3_per_atom=25.6 relative_energy_mev_per_atom=242 sg=F-43m ef_ev_per_atom=-0.13 pbc="T T T"
Ca 0.000 0.000 0.000
Ca 1.857 1.857 1.857
Al 3.714 3.714 3.714
Hg 5.571 5.571 5.571



18
Lattice="8.271 0.000 0.000 0.000 8.271 0.000 0.000 0.000 5.736" Properties=species:S:1:pos:R:3 comment="Ce4SmCo4 PBE relaxed" e_tot_ev_per_atom=-6.465 volume_a3_per_atom=21.8 sg=P4_2/n ef_ev_per_atom=-0.15 pbc="T T T"
Ce 0.456 5.522 1.051
Ce 1.386 7.815 3.919
Ce 2.750 4.592 3.919
Ce 3.679 6.886 1.051
Ce 4.592 1.386 4.685
Ce 5.522 3.679 1.817
Ce 6.886 0.456 1.817
Ce 7.815 2.750 4.685
Sm 2.068 2.068 1.434
Sm 6.204 6.204 4.302
Co 0.435 5.005 3.799
Co 0.869 7.836 0.931
Co 3.266 4.571 0.931
Co 3.700 7.402 3.799
Co 4.571 0.869 1.936
Co 5.005 3.700 4.804
Co 7.402 0.435 4.804
Co 7.836 3.266 1.936



5
Lattice="-2.531 2.531 4.688 2.531 -2.531 4.688 2.531 2.531 -4.688" Properties=species:S:1:pos:R:3 comment="Cd2As2Se PBE relaxed" e_tot_ev_per_atom=-2.724 volume_a3_per_atom=24.0 relative_energy_mev_per_atom=52 raw_formation_energy_ev_per_fu=1.0 sg=I4/mmm pbc="T T T"
Cd 2.531 0.000 2.344
Cd 0.000 2.531 2.344
As 0.000 0.000 1.199
As 0.000 0.000 8.176
Se 0.000 0.000 4.688



11
Lattice="10.157 -2.004 0.000 10.157 2.004 0.000 -1.644 0.000 11.506" Properties=species:S:1:pos:R:3 comment="Pm4I5Br2 PBE relaxed" e_tot_ev_per_atom=-3.912 volume_a3_per_atom=42.6 raw_formation_energy_ev_per_fu=-12.9 sg=C2/m pbc="T T T"
Pm 0.268 0.000 2.487
Pm 5.759 0.000 5.541
Pm 12.911 0.000 5.965
Pm 18.402 0.000 9.019
I 1.310 0.000 8.184
I 3.346 0.000 3.343
I 10.157 0.000 0.000
I 15.324 0.000 8.163
I 17.360 0.000 3.322
Br 8.319 0.000 6.943
Br 10.351 0.000 4.563